[1]
Density functional theory data (GGA-PBE) for a relaxed K3Na5Cd2 crystal.

The structure in POSCAR format:
```
K3Na5Cd2
1.0
-7.437 7.843 3.666
7.437 -7.843 3.666
7.437 7.843 -3.666
K Na Cd
6 10 4
Direct
0.236 0.126 0.362 K
0.250 0.250 0.000 K
0.264 0.626 0.890 K
0.736 0.374 0.110 K
0.750 0.750 0.000 K
0.764 0.874 0.638 K
0.160 0.383 0.543 Na
0.250 0.508 0.258 Na
0.250 0.750 0.500 Na
0.250 0.992 0.742 Na
0.340 0.883 0.223 Na
0.660 0.117 0.777 Na
0.750 0.008 0.258 Na
0.750 0.250 0.500 Na
0.750 0.492 0.742 Na
0.840 0.617 0.457 Na
0.143 0.845 0.988 Cd
0.357 0.345 0.703 Cd
0.643 0.655 0.297 Cd
0.857 0.155 0.012 Cd
```

Space group ... No. 72
E_tot ... -1.144 eV/atom

[2]
Density functional theory data (GGA-PBE) for a relaxed TbTmTlPb crystal.

The structure in POSCAR format:
```
TbTmTlPb
1.0
0.000 3.813 3.813
3.813 0.000 3.813
3.813 3.813 0.000
Tb Tm Tl Pb
1 1 1 1
Direct
0.000 0.000 0.000 Tb
0.500 0.500 0.500 Tm
0.250 0.250 0.250 Tl
0.750 0.750 0.750 Pb
```

Space group ... No. 216
E_tot ... -4.127 eV/atom

[3]
Density functional theory data (GGA-PBE) for a relaxed KSr2N crystal.

The structure in POSCAR format:
```
KSr2N
1.0
1.962 1.133 11.271
-1.962 1.133 11.271
0.000 -2.266 11.271
K Sr N
1 2 1
Direct
0.000 0.000 0.000 K
0.126 0.126 0.126 Sr
0.874 0.874 0.874 Sr
0.500 0.500 0.500 N
```

Space group ... No. 166
E_tot ... -3.538 eV/atom

[4]
Density functional theory data (GGA-PBE) for a relaxed Tc2MoIr crystal.

The structure in POSCAR format:
```
Tc2MoIr
1.0
3.260 0.000 0.000
0.000 3.260 0.000
0.000 0.000 5.687
Tc Mo Ir
2 1 1
Direct
0.000 0.000 0.250 Tc
0.000 0.000 0.750 Tc
0.500 0.500 0.000 Mo
0.500 0.500 0.500 Ir
```

Space group ... No. 123
E_tot ... -9.911 eV/atom

[5]
Density functional theory data (GGA-PBE) for a relaxed Sr5Al3F19 crystal.

The structure in POSCAR format:
```
Sr5Al3F19
1.0
-7.153 7.153 3.614
7.153 -7.153 3.614
7.153 7.153 -3.614
Sr Al F
10 6 38
Direct
0.055 0.220 0.275 Sr
0.220 0.945 0.165 Sr
0.250 0.750 0.500 Sr
0.253 0.425 0.678 Sr
0.425 0.747 0.172 Sr
0.575 0.253 0.828 Sr
0.747 0.575 0.322 Sr
0.750 0.250 0.500 Sr
0.780 0.055 0.835 Sr
0.945 0.780 0.725 Sr
0.178 0.659 0.838 Al
0.252 0.252 0.000 Al
0.341 0.178 0.519 Al
0.659 0.822 0.481 Al
0.748 0.748 0.000 Al
0.822 0.341 0.162 Al
0.000 0.000 0.000 F
0.074 0.384 0.458 F
0.079 0.472 0.203 F
0.081 0.431 0.857 F
0.113 0.549 0.661 F
0.123 0.197 0.837 F
0.123 0.921 0.393 F
0.197 0.360 0.074 F
0.223 0.081 0.650 F
0.235 0.247 0.481 F
0.247 0.765 0.012 F
0.270 0.877 0.797 F
0.286 0.123 0.926 F
0.360 0.286 0.163 F
0.384 0.926 0.310 F
0.426 0.777 0.857 F
0.431 0.574 0.350 F
0.451 0.113 0.564 F
0.472 0.270 0.393 F
0.500 0.500 0.000 F
0.528 0.730 0.607 F
0.549 0.887 0.436 F
0.569 0.426 0.650 F
0.574 0.223 0.143 F
0.616 0.074 0.690 F
0.640 0.714 0.837 F
0.714 0.877 0.074 F
0.730 0.123 0.203 F
0.753 0.235 0.988 F
0.765 0.753 0.519 F
0.777 0.919 0.350 F
0.803 0.640 0.926 F
0.877 0.079 0.607 F
0.877 0.803 0.163 F
0.887 0.451 0.339 F
0.919 0.569 0.143 F
0.921 0.528 0.797 F
0.926 0.616 0.542 F
```

Space group ... No. 87
E_tot ... -5.817 eV/atom

[6]
Density functional theory data (GGA-PBE) for a relaxed Rb3TcBr2F6 crystal.

The structure in POSCAR format:
```
Rb3TcBr2F6
1.0
8.179 -3.921 0.000
8.179 3.921 0.000
-0.085 0.000 5.502
Rb Tc Br F
3 1 2 6
Direct
0.000 0.000 0.000 Rb
0.000 0.500 0.500 Rb
0.500 0.000 0.500 Rb
0.500 0.500 0.500 Tc
0.204 0.204 0.000 Br
0.796 0.796 0.000 Br
0.316 0.670 0.261 F
0.330 0.684 0.739 F
0.381 0.381 0.522 F
0.619 0.619 0.478 F
0.670 0.316 0.261 F
0.684 0.330 0.739 F
```

Space group ... No. 12
E_tot ... -4.438 eV/atom

[7]
Density functional theory data (GGA-PBE) for a relaxed SmHo2Rh crystal.

The structure in POSCAR format:
```
SmHo2Rh
1.0
1.893 -6.037 0.000
1.893 6.037 0.000
0.000 0.000 9.430
Sm Ho Rh
2 4 2
Direct
0.075 0.925 0.750 Sm
0.925 0.075 0.250 Sm
0.360 0.640 0.568 Ho
0.360 0.640 0.932 Ho
0.640 0.360 0.068 Ho
0.640 0.360 0.432 Ho
0.242 0.758 0.250 Rh
0.758 0.242 0.750 Rh
```

Space group ... No. 63
E_tot ... -5.792 eV/atom

[8]
Density functional theory data (GGA-PBE) for a relaxed MnBi4P2 crystal.

The structure in POSCAR format:
```
MnBi4P2
1.0
-2.424 2.424 8.019
2.424 -2.424 8.019
2.424 2.424 -8.019
Mn Bi P
1 4 2
Direct
0.000 0.000 0.000 Mn
0.000 0.500 0.500 Bi
0.171 0.171 0.000 Bi
0.500 0.000 0.500 Bi
0.829 0.829 0.000 Bi
0.345 0.345 0.000 P
0.655 0.655 0.000 P
```

Space group ... No. 139
E_tot ... -4.403 eV/atom

> E_tot of number 7 (SmHo2Rh)?

-5.792 eV/atom

> Among the records above, which one has the lowest E_tot?

Tc2MoIr

> Which of these has the highest E_tot?

K3Na5Cd2